## La2GdGe (PBE)

Data for La2GdGe after structural relaxation.

Unit cell a=4.8633 b=4.8232 c=4.8232 alpha=90.00 beta=90.00 gamma=90.00
With the nearest neighbours (Å) after each atom.
Positions (direct):
Ge: 0.5000 0.5000 0.5000  4 Gd 3.41, 8 La 3.42
Gd: 0.5000 0.0000 0.0000  4 Ge 3.41, 8 La 3.42
La: 0.0000 0.0000 0.5000  4 La 3.41, 4 Ge 3.42, 4 Gd 3.42
La: 0.0000 0.5000 0.0000  4 La 3.41, 4 Ge 3.42, 4 Gd 3.42

Properties
* space-group type: P4/mmm
* energy above the lowest structure with this stoichiometry: 0 kJ/mol of formula units
* E_form: -0.3752 eV per atom
* ρ: 7.452 g/cm³

***

## La2GdGe (PBE)

Data for La2GdGe after structural relaxation.

Unit cell a=4.0390 b=4.0390 c=7.4296 alpha=90.00 beta=90.00 gamma=90.00
With the nearest neighbours (Å) after each atom.
Positions (direct):
Ge: 0.5000 0.5000 0.5000  8 La 3.23
Gd: 0.5000 0.5000 0.0000  8 La 3.61, 2 Ge 3.71, 4 Gd 4.04
La: 0.0000 0.0000 0.7030  1 La 3.02, 4 Ge 3.23
La: 0.0000 0.0000 0.2970  1 La 3.02, 4 Ge 3.23

Properties
* space-group type: P4/mmm
* energy above the lowest structure with this stoichiometry: 7 kJ/mol of formula units
* E_form: -0.3561 eV per atom
* ρ: 6.956 g/cm³

***

## LaGdGe (PBE)

Data for LaGdGe after structural relaxation.

Unit cell a=5.0580 b=5.0580 c=5.0580 alpha=60.00 beta=60.00 gamma=60.00
With the nearest neighbours (Å) after each atom.
Positions (direct):
Ge: 0.2500 0.2500 0.2500  4 Gd 3.10, 4 La 3.10
Gd: 0.5000 0.5000 0.5000  4 Ge 3.10
La: 0.0000 0.0000 0.0000  4 Ge 3.10

Properties
* space-group type: F-43m
* energy above the lowest structure with this stoichiometry: 0 kJ/mol of formula units
* E_form: -0.5540 eV per atom
* ρ: 6.693 g/cm³

***

no.,VASP energy (eV per atom)
1,-7.514
2,-7.494
3,-8.429